(1)
Below is an optimized crystal structure of Zr4AuN3, with properties calculated at the GGA-PBE level.

Results
Space-group type: P6_3/mmc, No. 194
Calculated volume (Å³ per cell): 230.1
Calculated density (g/cm³): 8.717
Magnetic moment (μB per cell): 0.01
Raw total energy (eV per atom): -9.173

Lattice parameters (Å, degrees): 3.2752 3.2752 24.7657 90.00 90.00 120.00
Sites, in units of the cell vectors:
Zr (0.0000, 0.0000, 0.1581)
Zr (0.0000, 0.0000, 0.3419)
Zr (0.0000, 0.0000, 0.6581)
Zr (0.0000, 0.0000, 0.8419)
Zr (0.3333, 0.6667, 0.0546)
Zr (0.3333, 0.6667, 0.4454)
Zr (0.6667, 0.3333, 0.5546)
Zr (0.6667, 0.3333, 0.9454)
Au (0.3333, 0.6667, 0.2500)
Au (0.6667, 0.3333, 0.7500)
N (0.0000, 0.0000, 0.0000)
N (0.0000, 0.0000, 0.5000)
N (0.3333, 0.6667, 0.6074)
N (0.3333, 0.6667, 0.8926)
N (0.6667, 0.3333, 0.1074)
N (0.6667, 0.3333, 0.3926)

---

(2)
Below is an optimized crystal structure of Zr3AuN5, with properties calculated at the GGA-PBE level.

Results
Space-group type: P6/mmm, No. 191
Calculated volume (Å³ per cell): 124.9
Calculated density (g/cm³): 7.189
Magnetic moment (μB per cell): 0.00
Raw total energy (eV per atom): -7.928

Lattice parameters (Å, degrees): 5.8260 5.8260 4.2486 90.00 90.00 120.00
Sites, in units of the cell vectors:
Zr (0.0000, 0.5000, 0.0000)
Zr (0.5000, 0.0000, 0.0000)
Zr (0.5000, 0.5000, 0.0000)
Au (0.0000, 0.0000, 0.5000)
N (0.0000, 0.0000, 0.0000)
N (0.3333, 0.6667, 0.3408)
N (0.3333, 0.6667, 0.6592)
N (0.6667, 0.3333, 0.3408)
N (0.6667, 0.3333, 0.6592)

---

(3)
Below is an optimized crystal structure of Na2Au7, with properties calculated at the GGA-PBE level.

Results
Space-group type: R-3m, No. 166
Calculated volume (Å³ per cell): 379.8
Calculated density (g/cm³): 12.458
Raw total energy (eV per atom): -3.093

Lattice parameters (Å, degrees): 14.2403 14.2403 14.2403 22.78 22.78 22.78
Sites, in units of the cell vectors:
Na (0.0536, 0.0536, 0.0536)
Na (0.1511, 0.1511, 0.1511)
Na (0.8489, 0.8489, 0.8489)
Na (0.9464, 0.9464, 0.9464)
Au (0.0000, 0.5000, 0.5000)
Au (0.1086, 0.6137, 0.6137)
Au (0.2773, 0.2773, 0.2773)
Au (0.3863, 0.3863, 0.8914)
Au (0.3863, 0.8914, 0.3863)
Au (0.3891, 0.3891, 0.3891)
Au (0.5000, 0.0000, 0.5000)
Au (0.5000, 0.5000, 0.0000)
Au (0.5000, 0.5000, 0.5000)
Au (0.6109, 0.6109, 0.6109)
Au (0.6137, 0.1086, 0.6137)
Au (0.6137, 0.6137, 0.1086)
Au (0.7227, 0.7227, 0.7227)
Au (0.8914, 0.3863, 0.3863)

---

(4)
Below is an optimized crystal structure of NaAu2, with properties calculated at the GGA-PBE level.

Results
Relative energy among the computed polymorphs (meV/atom): 0.0
Space-group type: Fd-3m, No. 227
Calculated volume (Å³ per cell): 124.9
Calculated density (g/cm³): 11.086

Lattice parameters (Å, degrees): 5.6107 5.6107 5.6107 60.00 60.00 60.00
Sites, in units of the cell vectors:
Na (0.1250, 0.1250, 0.1250)
Na (0.8750, 0.8750, 0.8750)
Au (0.0000, 0.5000, 0.5000)
Au (0.5000, 0.0000, 0.5000)
Au (0.5000, 0.5000, 0.0000)
Au (0.5000, 0.5000, 0.5000)

---

(5)
Below is an optimized crystal structure of Na5Au2, with properties calculated at the GGA-PBE level.

Results
Space-group type: R-3m, No. 166
Calculated volume (Å³ per cell): 155.2
Calculated density (g/cm³): 5.445
Raw total energy (eV per atom): -2.058

Lattice parameters (Å, degrees): 7.7544 7.7544 7.7544 37.53 37.53 37.53
Sites, in units of the cell vectors:
Na (0.0000, 0.0000, 0.0000)
Na (0.1456, 0.1456, 0.1456)
Na (0.2875, 0.2875, 0.2875)
Na (0.7125, 0.7125, 0.7125)
Na (0.8544, 0.8544, 0.8544)
Au (0.4314, 0.4314, 0.4314)
Au (0.5686, 0.5686, 0.5686)

---

(6)
Below is an optimized crystal structure of Na8Au3, with properties calculated at the GGA-PBE level.

Results
Space-group type: C2/m, No. 12
Calculated volume (Å³ per cell): 246.0
Calculated density (g/cm³): 5.230
Raw total energy (eV per atom): -2.027

Lattice parameters (Å, degrees): 5.0084 5.0084 11.7013 102.48 102.48 59.95
Sites, in units of the cell vectors:
Na (0.0901, 0.0901, 0.2700)
Na (0.1797, 0.1797, 0.5392)
Na (0.2717, 0.2717, 0.8150)
Na (0.3637, 0.3637, 0.0912)
Na (0.6363, 0.6363, 0.9088)
Na (0.7283, 0.7283, 0.1850)
Na (0.8203, 0.8203, 0.4608)
Na (0.9099, 0.9099, 0.7300)
Au (0.0000, 0.0000, 0.0000)
Au (0.4562, 0.4562, 0.3686)
Au (0.5438, 0.5438, 0.6314)

---

(7)
Below is an optimized crystal structure of NaAu2, with properties calculated at the GGA-PBE level.

Results
Relative energy among the computed polymorphs (meV/atom): 527.8
Space-group type: Fm-3m, No. 225
Calculated volume (Å³ per cell): 267.1
Calculated density (g/cm³): 10.368

Lattice parameters (Å, degrees): 6.4401 6.4401 6.4401 90.00 90.00 90.00
Sites, in units of the cell vectors:
Na (0.0000, 0.0000, 0.0000)
Na (0.0000, 0.5000, 0.5000)
Na (0.5000, 0.0000, 0.5000)
Na (0.5000, 0.5000, 0.0000)
Au (0.2500, 0.2500, 0.2500)
Au (0.2500, 0.2500, 0.7500)
Au (0.2500, 0.7500, 0.2500)
Au (0.2500, 0.7500, 0.7500)
Au (0.7500, 0.2500, 0.2500)
Au (0.7500, 0.2500, 0.7500)
Au (0.7500, 0.7500, 0.2500)
Au (0.7500, 0.7500, 0.7500)

---

(8)
Below is an optimized crystal structure of Na2Au, with properties calculated at the GGA-PBE level.

Results
Space-group type: Fd-3m, No. 227
Calculated volume (Å³ per cell): 125.5
Calculated density (g/cm³): 6.427
Raw total energy (eV per atom): -1.886

Lattice parameters (Å, degrees): 5.6203 5.6203 5.6203 60.00 60.00 60.00
Sites, in units of the cell vectors:
Na (0.0000, 0.0000, 0.0000)
Na (0.0000, 0.0000, 0.5000)
Na (0.0000, 0.5000, 0.0000)
Na (0.5000, 0.0000, 0.0000)
Au (0.3750, 0.3750, 0.3750)
Au (0.6250, 0.6250, 0.6250)